Entry 1:
The following is a meta-GGA SCAN calculation of a crystal of Er3Ga2 relaxed with PBEsol, from the Alexandria database.

```
40
Lattice="-5.657 5.657 7.261 5.657 -5.657 7.261 5.657 5.657 -7.261" Properties=species:S:1:pos:R:3 pbc="T T T"
Er 6.412 -3.367 5.297
Er 2.290 -0.755 1.964
Er 5.657 0.000 2.135
Er 6.412 3.367 -1.964
Er 3.742 1.915 0.000
Er 9.024 0.755 1.964
Er 3.367 4.902 -1.964
Er 3.742 -1.915 7.261
Er 0.755 2.290 1.964
Er 5.657 0.000 5.126
Er 2.290 0.755 5.297
Er 6.412 3.367 1.964
Er -0.755 2.290 5.297
Er 3.367 4.902 1.964
Er 0.000 5.657 2.135
Er 4.902 3.367 5.297
Er 1.915 7.572 0.000
Er 2.290 0.755 9.225
Er -3.367 4.902 5.297
Er 1.915 3.742 7.261
Er -0.755 2.290 9.225
Er 0.000 5.657 5.126
Er 3.367 6.412 5.297
Er -0.755 9.024 1.964
Ga 0.000 0.000 0.000
Ga 7.663 -2.006 2.931
Ga 6.987 1.330 0.000
Ga 3.651 -2.006 4.330
Ga 0.000 0.000 3.631
Ga 3.651 2.006 2.931
Ga 1.330 4.327 0.000
Ga 7.663 2.006 4.330
Ga 0.000 0.000 7.261
Ga -2.006 3.651 2.931
Ga 4.327 1.330 7.261
Ga 2.006 3.651 4.330
Ga 0.000 0.000 10.892
Ga 2.006 7.663 2.931
Ga -1.330 4.327 7.261
Ga -2.006 7.663 4.330
```

Calculated values
Calculated formation energy (eV/atom): -0.6332
Crystal system: tetragonal

Entry 2:
The following is a meta-GGA SCAN calculation of a crystal of TaInNi2 relaxed with PBEsol, from the Alexandria database.

```
4
Lattice="4.165 -1.399 0.000 4.165 1.399 0.000 -0.806 0.000 5.155" Properties=species:S:1:pos:R:3 pbc="T T T"
Ta 0.000 0.000 0.000
In 3.762 0.000 2.578
Ni 1.449 0.000 4.067
Ni 6.075 0.000 1.088
```

Calculated values
Calculated formation energy (eV/atom): 0.0464
Crystal system: monoclinic

Entry 3:
The following is a meta-GGA SCAN calculation of a crystal of Mg2TcHg relaxed with PBEsol, from the Alexandria database.

```
4
Lattice="2.856 0.000 0.000 0.000 4.298 0.000 0.000 0.000 5.727" Properties=species:S:1:pos:R:3 pbc="T T T"
Mg 0.000 0.000 0.000
Mg 1.428 2.149 1.611
Tc 0.000 0.000 2.811
Hg 1.428 2.149 4.335
```

Calculated values
Calculated formation energy (eV/atom): 0.1733
Crystal system: orthorhombic

Entry 4:
The following is a meta-GGA SCAN calculation of a crystal of SrPtCl relaxed with PBEsol, from the Alexandria database.

```
3
Lattice="4.579 0.000 0.000 -2.290 3.966 0.000 0.000 0.000 3.654" Properties=species:S:1:pos:R:3 pbc="T T T"
Sr 0.000 0.000 0.000
Pt 0.000 2.644 1.827
Cl 2.290 1.322 1.827
```

Calculated values
ΔE to the lowest computed polymorph (meV per atom): 37.2
E_form (uncorrected) (kJ per mole of atoms): -83
Crystal system: hexagonal

Entry 5:
The following is a meta-GGA SCAN calculation of a crystal of MgBe4Rh relaxed with PBEsol, from the Alexandria database.

```
6
Lattice="0.000 3.108 3.108 3.108 0.000 3.108 3.108 3.108 0.000" Properties=species:S:1:pos:R:3 pbc="T T T"
Mg 0.000 0.000 0.000
Be 3.876 2.340 2.340
Be 2.340 3.876 2.340
Be 2.340 2.340 3.876
Be 3.876 3.876 3.876
Rh 1.554 1.554 1.554
```

Calculated values
Calculated formation energy (eV/atom): -0.4040
Crystal system: cubic

Entry 6:
The following is a meta-GGA SCAN calculation of a crystal of ScAl2Tc relaxed with PBEsol, from the Alexandria database.

```
4
Lattice="3.247 0.000 0.000 0.000 3.247 0.000 0.000 0.000 6.109" Properties=species:S:1:pos:R:3 pbc="T T T"
Sc 0.000 0.000 0.000
Al 1.623 1.623 1.778
Al 1.623 1.623 4.331
Tc 0.000 0.000 3.055
```

Calculated values
ΔE to the lowest computed polymorph (meV per atom): 0.0
Calculated formation energy (eV/atom): -0.4721
Crystal system: tetragonal

Entry 7:
The following is a meta-GGA SCAN calculation of a crystal of KFe2Au relaxed with PBEsol, from the Alexandria database.

```
4
Lattice="2.776 -4.597 0.000 2.776 4.597 0.000 0.000 0.000 2.639" Properties=species:S:1:pos:R:3 pbc="T T T"
K 0.000 0.000 0.000
Fe 1.388 2.299 1.319
Fe 1.388 -2.299 1.319
Au 2.776 0.000 0.000
```

Calculated values
Calculated formation energy (eV/atom): 0.8508
Crystal system: orthorhombic

Entry 8:
The following is a meta-GGA SCAN calculation of a crystal of Ca5Au4 relaxed with PBEsol, from the Alexandria database.

```
18
Lattice="7.949 0.000 0.000 0.000 7.960 0.000 -2.509 0.000 7.197" Properties=species:S:1:pos:R:3 pbc="T T T"
Ca 0.000 0.000 0.000
Ca -1.255 3.980 3.599
Ca 0.145 1.370 5.414
Ca 1.399 2.610 1.816
Ca 0.110 5.393 6.712
Ca 1.364 6.547 3.114
Ca 4.075 1.413 4.084
Ca 5.330 2.567 0.485
Ca 4.040 5.350 5.382
Ca 5.295 6.590 1.783
Au -0.214 5.022 0.932
Au -1.468 6.918 4.530
Au 2.973 0.254 1.026
Au 1.718 3.726 4.625
Au 3.721 4.234 2.572
Au 2.467 7.706 6.171
Au 6.908 1.042 2.667
Au 5.653 2.938 6.266
```

Calculated values
Calculated formation energy (eV/atom): -0.9319
Crystal system: monoclinic

Entry 9:
The following is a meta-GGA SCAN calculation of a crystal of Cs2NaMgF6 relaxed with PBEsol, from the Alexandria database.

```
10
Lattice="0.000 4.329 4.329 4.329 0.000 4.329 4.329 4.329 0.000" Properties=species:S:1:pos:R:3 pbc="T T T"
Cs 2.164 2.164 2.164
Cs 6.493 6.493 6.493
Na 0.000 0.000 0.000
Mg 4.329 4.329 4.329
F 4.329 4.329 2.328
F 4.329 2.328 4.329
F 6.329 4.329 4.329
F 2.328 4.329 4.329
F 4.329 6.329 4.329
F 4.329 4.329 6.329
```

Calculated values
E_form (uncorrected) (kJ per mole of atoms): -280
Crystal system: cubic

Entry 10:
The following is a meta-GGA SCAN calculation of a crystal of Be2TlNi relaxed with PBEsol, from the Alexandria database.

```
4
Lattice="2.600 -4.116 0.000 2.600 4.116 0.000 -1.500 0.000 2.490" Properties=species:S:1:pos:R:3 pbc="T T T"
Be 1.300 2.058 0.000
Be 1.300 -2.058 0.000
Tl 0.000 0.000 0.000
Ni 2.600 0.000 0.000
```

Calculated values
ΔE to the lowest computed polymorph (meV per atom): 280.7
Calculated formation energy (eV/atom): 0.5066
Crystal system: monoclinic

Entry 11:
The following is a meta-GGA SCAN calculation of a crystal of LaHgW2 relaxed with PBEsol, from the Alexandria database.

```
4
Lattice="3.595 0.000 0.000 0.000 3.595 0.000 0.000 0.000 6.731" Properties=species:S:1:pos:R:3 pbc="T T T"
La 0.000 0.000 0.000
Hg 0.000 0.000 3.366
W 1.797 1.797 2.179
W 1.797 1.797 4.552
```

Calculated values
Calculated formation energy (eV/atom): 0.9221
Crystal system: tetragonal

Entry 12:
The following is a meta-GGA SCAN calculation of a crystal of Mg3SiO5F relaxed with PBEsol, from the Alexandria database.

```
40
Lattice="10.289 0.000 0.000 0.000 4.726 0.000 0.000 0.000 8.850" Properties=species:S:1:pos:R:3 pbc="T T T"
Mg 0.953 0.012 0.000
Mg 1.361 2.395 2.873
Mg 1.372 2.379 6.031
Mg 3.773 0.015 1.606
Mg 3.784 0.032 7.298
Mg 4.192 2.375 4.425
Mg 6.098 2.352 0.000
Mg 6.505 4.694 2.873
Mg 6.516 4.711 6.031
Mg 8.918 2.348 1.606
Mg 8.929 2.331 7.298
Mg 9.336 4.715 4.425
Si 2.288 0.336 4.426
Si 2.856 2.699 0.001
Si 7.433 2.028 4.426
Si 8.001 4.391 0.001
O 0.380 1.323 1.454
O 0.789 1.036 4.437
O 2.117 3.402 1.302
O 2.115 3.426 7.570
O 2.285 3.439 4.417
O 2.860 1.076 8.842
O 3.027 1.039 5.727
O 3.030 1.063 3.145
O 4.355 3.399 0.012
O 4.765 3.687 5.879
O 5.525 1.040 1.454
O 5.934 1.328 4.437
O 7.259 3.663 7.570
O 7.262 3.687 1.302
O 7.430 3.650 4.417
O 8.004 1.287 8.842
O 8.175 1.300 3.145
O 8.172 1.324 5.727
O 9.500 3.691 0.012
O 9.909 3.403 5.879
F 0.338 1.225 7.376
F 4.807 3.589 2.951
F 5.482 1.138 7.376
F 9.952 3.501 2.951
```

Calculated values
E_form (uncorrected) (kJ per mole of atoms): -286
Crystal system: orthorhombic

Entry 13:
The following is a meta-GGA SCAN calculation of a crystal of TlCdIn relaxed with PBEsol, from the Alexandria database.

```
3
Lattice="-1.619 2.259 5.115 1.619 -2.259 5.115 1.619 2.259 -5.115" Properties=species:S:1:pos:R:3 pbc="T T T"
Tl 0.000 0.000 0.000
Cd 0.000 0.000 6.829
In 0.000 0.000 3.292
```

Calculated values
Calculated formation energy (eV/atom): 0.0847
Crystal system: orthorhombic

Entry 14:
The following is a meta-GGA SCAN calculation of a crystal of BaReIr3 relaxed with PBEsol, from the Alexandria database.

```
5
Lattice="4.917 0.000 0.000 0.000 4.917 0.000 0.000 0.000 4.917" Properties=species:S:1:pos:R:3 pbc="T T T"
Ba 0.000 0.000 0.000
Re 2.458 2.458 2.458
Ir 0.000 0.000 2.458
Ir 0.000 2.458 0.000
Ir 2.458 0.000 0.000
```

Calculated values
ΔE to the lowest computed polymorph (meV per atom): 3028.0
Calculated formation energy (eV/atom): 3.7899
Crystal system: cubic

Entry 15:
The following is a meta-GGA SCAN calculation of a crystal of Fe3Ge relaxed with PBEsol, from the Alexandria database.

```
4
Lattice="0.000 2.810 2.810 2.810 0.000 2.810 2.810 2.810 0.000" Properties=species:S:1:pos:R:3 pbc="T T T"
Fe 0.000 0.000 0.000
Fe 1.405 1.405 1.405
Fe 4.215 4.215 4.215
Ge 2.810 2.810 2.810
```

Calculated values
Calculated formation energy (eV/atom): -0.1261
Crystal system: cubic

Entry 16:
The following is a meta-GGA SCAN calculation of a crystal of CaLa2Cd relaxed with PBEsol, from the Alexandria database.

```
4
Lattice="6.228 -1.960 0.000 6.228 1.960 0.000 -2.377 0.000 5.155" Properties=species:S:1:pos:R:3 pbc="T T T"
Ca 0.000 0.000 0.000
La 5.535 0.000 2.805
La 8.987 0.000 1.594
Cd 1.572 0.000 4.196
```

Calculated values
Calculated formation energy (eV/atom): -0.1550
Crystal system: monoclinic

Entry 17:
The following is a meta-GGA SCAN calculation of a crystal of Ir2PtAu relaxed with PBEsol, from the Alexandria database.

```
4
Lattice="-1.967 1.967 3.859 1.967 -1.967 3.859 1.967 1.967 -3.859" Properties=species:S:1:pos:R:3 pbc="T T T"
Ir 1.967 0.000 1.930
Ir 0.000 1.967 1.930
Pt 0.000 0.000 0.000
Au 0.000 0.000 3.859
```

Calculated values
ΔE to the lowest computed polymorph (meV per atom): 125.1
Calculated formation energy (eV/atom): 0.3545
Crystal system: tetragonal

Entry 18:
The following is a meta-GGA SCAN calculation of a crystal of LuAlPt relaxed with PBEsol, from the Alexandria database.

```
12
Lattice="6.668 0.000 0.000 0.000 4.311 0.000 0.000 0.000 7.653" Properties=species:S:1:pos:R:3 pbc="T T T"
Lu 0.196 1.078 1.377
Lu 3.138 3.233 5.204
Lu 3.530 1.078 2.449
Lu 6.472 3.233 6.275
Al 0.964 1.078 4.300
Al 2.370 3.233 0.473
Al 4.298 1.078 7.179
Al 5.704 3.233 3.353
Pt 1.560 3.233 2.913
Pt 1.774 1.078 6.739
Pt 4.894 3.233 0.913
Pt 5.108 1.078 4.739
```

Calculated values
Calculated formation energy (eV/atom): -1.4457
Crystal system: orthorhombic

Entry 19:
The following is a meta-GGA SCAN calculation of a crystal of Ba5Se relaxed with PBEsol, from the Alexandria database.

```
6
Lattice="2.159 -10.009 0.000 2.159 10.009 0.000 0.000 0.000 6.683" Properties=species:S:1:pos:R:3 pbc="T T T"
Ba 0.000 0.000 0.000
Ba 2.159 7.549 3.342
Ba 2.159 3.456 0.000
Ba 2.159 -3.456 0.000
Ba 2.159 -7.549 3.342
Se 2.159 0.000 3.342
```

Calculated values
E_form (uncorrected) (kJ per mole of atoms): -41
Crystal system: orthorhombic

Entry 20:
The following is a meta-GGA SCAN calculation of a crystal of MgBeAu2 relaxed with PBEsol, from the Alexandria database.

```
4
Lattice="-1.889 1.889 4.183 1.889 -1.889 4.183 1.889 1.889 -4.183" Properties=species:S:1:pos:R:3 pbc="T T T"
Mg 0.000 0.000 0.000
Be 1.889 0.000 2.091
Au 0.000 0.000 4.183
Au 0.000 1.889 2.091
```

Calculated values
ΔE to the lowest computed polymorph (meV per atom): 112.1
Calculated formation energy (eV/atom): -0.4041
Crystal system: tetragonal

Entry 21:
The following is a meta-GGA SCAN calculation of a crystal of ScTa3P relaxed with PBEsol, from the Alexandria database.

```
5
Lattice="4.659 0.000 0.000 0.000 4.659 0.000 0.000 0.000 4.659" Properties=species:S:1:pos:R:3 pbc="T T T"
Sc 0.000 0.000 0.000
Ta 0.000 0.000 2.329
Ta 0.000 2.329 0.000
Ta 2.329 0.000 0.000
P 2.329 2.329 2.329
```

Calculated values
Calculated formation energy (eV/atom): 2.1973
Crystal system: cubic

Entry 22:
The following is a meta-GGA SCAN calculation of a crystal of TiAs2SeBr relaxed with PBEsol, from the Alexandria database.

```
5
Lattice="4.933 0.000 0.000 0.000 4.933 0.000 0.000 0.000 4.994" Properties=species:S:1:pos:R:3 pbc="T T T"
Ti 0.000 0.000 0.000
As 0.000 2.467 2.497
As 2.467 0.000 2.497
Se 2.467 2.467 2.497
Br 2.467 2.467 0.000
```

Calculated values
ΔE to the lowest computed polymorph (meV per atom): 748.2
E_form (uncorrected) (kJ per mole of atoms): 69
Crystal system: tetragonal

Entry 23:
The following is a meta-GGA SCAN calculation of a crystal of Li4Mn3F10 relaxed with PBEsol, from the Alexandria database.

```
17
Lattice="5.061 0.000 0.000 1.080 5.273 0.000 2.021 2.177 6.984" Properties=species:S:1:pos:R:3 pbc="T T T"
Li 0.578 1.200 1.412
Li 3.369 1.830 2.424
Li 4.793 5.620 4.560
Li 7.585 6.249 5.572
Mn 1.551 3.725 3.492
Mn 3.639 3.223 5.973
Mn 4.524 4.226 1.010
F 0.000 0.000 0.000
F 0.540 2.636 0.000
F 3.035 4.799 4.467
F 2.660 2.034 4.267
F 2.771 3.522 1.849
F 2.411 0.855 1.076
F 5.752 6.594 5.908
F 5.392 3.927 5.135
F 5.503 5.416 2.717
F 5.128 2.651 2.517
```

Calculated values
ΔE to the lowest computed polymorph (meV per atom): 0.0
E_form (uncorrected) (kJ per mole of atoms): -282
Crystal system: triclinic

Number 1: total energy -37.3759 eV/atom. Number 2: total energy -33.0327 eV/atom. Number 3: total energy -28.1200 eV/atom. Number 4: total energy -34.3381 eV/atom. Number 5: total energy -9.7639 eV/atom. Number 6: total energy -16.6723 eV/atom. Number 7: total energy -27.5854 eV/atom. Number 8: total energy -37.0369 eV/atom. Number 9: total energy -13.5044 eV/atom. Number 10: total energy -23.8031 eV/atom. Number 11: total energy -61.7396 eV/atom. Number 12: total energy -8.9318 eV/atom. Number 13: total energy -45.3017 eV/atom. Number 14: total energy -60.9991 eV/atom. Number 15: total energy -18.4952 eV/atom. Number 16: total energy -31.7270 eV/atom. Number 17: total energy -70.0325 eV/atom. Number 18: total energy -45.8755 eV/atom. Number 19: total energy -36.7316 eV/atom. Number 20: total energy -37.3144 eV/atom. Number 21: total energy -42.6798 eV/atom. Number 22: total energy -18.4764 eV/atom. Number 23: total energy -8.7934 eV/atom.